No. 1
Density functional theory data (SCAN) for a PBEsol-optimized structure of ZrScHg2.

Computed properties:
For the mass density, the calculation gives 10.86 g/cm3. The calculation puts the energy relative to the elements at -0.474 eV per atom. Its density of states at the Fermi level is 3.0 states/eV per cell. The calculation puts the relative energy among the computed polymorphs at 17 meV per atom. As for the space group: Cmmm (65).

Unit cell a=5.2004 b=5.2004 c=3.1344 alpha=90.00 beta=90.00 gamma=104.15
Fractional positions:
Zr  0.0000  0.0000  0.0000
Sc  0.5000  0.5000  0.0000
Hg  0.0000  0.5000  0.5000
Hg  0.5000  0.0000  0.5000


No. 2
Density functional theory data (SCAN) for a PBEsol-optimized structure of Ho2TlZn.

Computed properties:
For the mass density, the calculation gives 10.60 g/cm3. The calculation puts the energy relative to the elements at -0.478 eV per atom. Its density of states at the Fermi level is 3.3 states/eV per cell. As for the space group: Fm-3m (225).

Unit cell a=5.1024 b=5.1024 c=5.1024 alpha=60.00 beta=60.00 gamma=60.00
Fractional positions:
Ho  0.2500  0.2500  0.2500
Ho  0.7500  0.7500  0.7500
Tl  0.0000  0.0000  0.0000
Zn  0.5000  0.5000  0.5000


No. 3
Density functional theory data (SCAN) for a PBEsol-optimized structure of Ti2NbTl.

Computed properties:
For the mass density, the calculation gives 9.30 g/cm3. The calculation puts the energy relative to the elements at -0.096 eV per atom. Its density of states at the Fermi level is 3.0 states/eV per cell. As for the space group: Fm-3m (225).

Unit cell a=4.6301 b=4.6301 c=4.6301 alpha=60.00 beta=60.00 gamma=60.00
Fractional positions:
Ti  0.2500  0.2500  0.2500
Ti  0.7500  0.7500  0.7500
Nb  0.0000  0.0000  0.0000
Tl  0.5000  0.5000  0.5000


No. 4
Density functional theory data (SCAN) for a PBEsol-optimized structure of LaTaSb2.

Computed properties:
For the mass density, the calculation gives 8.65 g/cm3. Its density of states at the Fermi level is 1.1 states/eV per cell. The calculation puts the relative energy among the computed polymorphs at 193 meV per atom. As for the space group: Amm2 (38). The calculation puts the uncorrected formation energy at -250 meV/atom.

Unit cell a=5.2533 b=5.6739 c=5.6739 alpha=39.76 beta=90.00 gamma=90.00
Fractional positions:
La  0.0000  0.0000  0.0000
Ta  0.5000  0.7155  0.7155
Sb  0.0000  0.7214  0.7214
Sb  0.5000  0.4182  0.4182


No. 5
Density functional theory data (SCAN) for a PBEsol-optimized structure of KSbIr2.

Computed properties:
For the mass density, the calculation gives 12.40 g/cm3. Its density of states at the Fermi level is 3.3 states/eV per cell. As for the space group: C2/m (12). The calculation puts the uncorrected formation energy at 854 meV/atom.

Unit cell a=5.7233 b=5.7233 c=2.8174 alpha=104.17 beta=104.17 gamma=116.63
Fractional positions:
K  0.0000  0.0000  0.0000
Sb  0.5000  0.5000  0.0000
Ir  0.0000  0.5000  0.5000
Ir  0.5000  0.0000  0.5000


No. 6
Density functional theory data (SCAN) for a PBEsol-optimized structure of ReAuSe2.

Computed properties:
For the mass density, the calculation gives 12.67 g/cm3. Its density of states at the Fermi level is 2.5 states/eV per cell. The calculation puts the relative energy among the computed polymorphs at 405 meV per atom. As for the space group: Cmmm (65). The calculation puts the uncorrected formation energy at 740 meV/atom.

Unit cell a=5.3075 b=5.3075 c=2.6539 alpha=90.00 beta=90.00 gamma=108.45
Fractional positions:
Re  0.0000  0.0000  0.0000
Au  0.5000  0.5000  0.0000
Se  0.0000  0.5000  0.0000
Se  0.5000  0.0000  0.0000


No. 7
Density functional theory data (SCAN) for a PBEsol-optimized structure of La2Ir.

Computed properties:
For the mass density, the calculation gives 9.97 g/cm3. The calculation puts the energy relative to the elements at -0.684 eV per atom. Its density of states at the Fermi level is 8.8 states/eV per cell. As for the space group: P-62m (189).

Unit cell a=7.5998 b=7.5998 c=4.6944 alpha=90.00 beta=90.00 gamma=120.00
Fractional positions:
La  0.0000  0.4094  0.0000
La  0.0000  0.7365  0.5000
La  0.2635  0.2635  0.5000
La  0.4094  0.0000  0.0000
La  0.5906  0.5906  0.0000
La  0.7365  0.0000  0.5000
Ir  0.0000  0.0000  0.0000
Ir  0.3333  0.6667  0.5000
Ir  0.6667  0.3333  0.5000


No. 8
Density functional theory data (SCAN) for a PBEsol-optimized structure of ScBeRu2.

Computed properties:
For the mass density, the calculation gives 7.73 g/cm3. The calculation puts the energy relative to the elements at -0.193 eV per atom. Its density of states at the Fermi level is 3.2 states/eV per cell. As for the space group: Pm (6).

Unit cell a=2.8398 b=4.1914 c=4.7682 alpha=90.00 beta=104.17 gamma=90.00
Fractional positions:
Sc  0.0000  0.0000  0.0000
Be  0.5861  0.5000  0.2196
Ru  0.2491  0.5000  0.6607
Ru  0.6183  0.0000  0.4782